First-principles (PBE-GGA) data for an optimized crystal structure of CoOsAu2, as listed in the Alexandria database.

N(E_F)	4.5	states/eV/cell
energy above the most stable polymorph in this dataset	0.368	eV/atom
uncorrected energy	-5.583	eV/atom

Lattice parameters (Å, degrees): 4.9156 4.9156 4.9156 133.26 133.26 68.25
Last column: nearest neighbours and their distance in Å.
Fractional coordinates of all 4 atoms:
Co  0.0000  0.0000  0.0000  4 Os 2.76, 8 Au 2.82
Os  0.5000  0.5000  0.0000  4 Co 2.76, 8 Au 2.82
Au  0.2500  0.7500  0.5000  4 Au 2.76, 4 Co 2.82, 4 Os 2.82
Au  0.7500  0.2500  0.5000  4 Au 2.76, 4 Co 2.82, 4 Os 2.82